Compound: BeZnPt2Au
Source: the Alexandria database
Functional: PBE
Structure: optimized geometry

The structure belongs to space group P4/mmm (No. 123); the cell edges are 5.028, 5.028 and 4.618 Å and the angles 90.00°, 90.00° and 90.00°. Symmetry generates all atoms from Be at (0.000, 0.000, 0.000), Zn at (0.500, 0.500, 0.000), Pt at (0.000, 0.500, 0.500) and Au at (0.500, 0.500, 0.500).

As for the total magnetization: 0.00 μB per formula unit. For the total energy, the calculation gives -2.785 eV per atom.

Compound: ZrBePt2Au
Source: the Alexandria database
Functional: PBE
Structure: optimized geometry

The structure belongs to space group P4/mmm (No. 123); the cell edges are 4.952, 4.952 and 4.577 Å and the angles 90.00°, 90.00° and 90.00°. Symmetry generates all atoms from Zr at (0.000, 0.000, 0.000), Be at (0.000, 0.000, 0.500), Pt at (0.000, 0.500, 0.000) and Au at (0.500, 0.500, 0.500).

As for the total magnetization: 0.00 μB per formula unit. The value obtained for the excess energy over the best structure of this formula in the dataset is 0 meV/atom.

Compound: ZrBePt2Au
Source: the Alexandria database
Functional: PBE
Structure: optimized geometry

The structure belongs to space group P4/mmm (No. 123); the cell edges are 4.964, 4.964 and 5.203 Å and the angles 90.00°, 90.00° and 90.00°. Symmetry generates all atoms from Zr at (0.000, 0.000, 0.000), Be at (0.500, 0.500, 0.500), Pt at (0.000, 0.500, 0.000) and Au at (0.000, 0.000, 0.500).

As for the total magnetization: 0.00 μB per formula unit. The value obtained for the excess energy over the best structure of this formula in the dataset is 53 meV/atom.

Compound: PuBe2Au3
Source: the Alexandria database
Functional: PBE
Structure: optimized geometry

The structure belongs to space group P6/mmm (No. 191); the cell edges are 9.5142, 9.5142 and 3.8801 Å and the angles 90.00°, 90.00° and 120.00°. Symmetry generates all atoms from Pu at (0.0000, 0.0000, 0.0000), Pu at (0.3333, 0.6667, 0.5000), Be at (0.1927, 0.3855, 0.0000), Au at (0.0000, 0.2872, 0.5000) and Au at (0.0000, 0.5000, 0.0000).

As for the total magnetization: 5.45 μB per formula unit. For the total energy, the calculation gives -5.521 eV per atom.

Compound: PuBe5Au7
Source: the Alexandria database
Functional: PBE
Structure: optimized geometry

The structure belongs to space group Imm2 (No. 44); the cell edges are 5.056, 8.868 and 8.890 Å and the angles 90.00°, 90.00° and 90.00°. Symmetry generates all atoms from Pu at (0.000, 0.000, 0.000), Be at (0.000, 0.500, 0.740), Be at (0.244, 0.246, 0.265), Au at (0.000, 0.000, 0.329), Au at (0.000, 0.000, 0.657), Au at (0.000, 0.305, 0.539), Au at (0.000, 0.341, 0.980) and Au at (0.000, 0.500, 0.281).

As for the total magnetization: 5.37 μB per formula unit. For the total energy, the calculation gives -4.480 eV per atom.

Compound: PuBeAu
Source: the Alexandria database
Functional: PBE
Structure: optimized geometry

The structure belongs to space group C2/m (No. 12); the cell edges are 10.070, 4.190 and 6.957 Å and the angles 90.00°, 130.29° and 90.00°. Symmetry generates all atoms from Pu at (0.073, 0.000, 0.312), Be at (0.139, 0.500, 0.698) and Au at (0.193, 0.500, 0.105).

As for the total magnetization: 5.64 μB per formula unit. The value obtained for the excess energy over the best structure of this formula in the dataset is 0 meV/atom.

Compound: Pu2Be3Au9
Source: the Alexandria database
Functional: PBE
Structure: optimized geometry

The structure belongs to space group C2/c (No. 15); the cell edges are 13.665, 7.753 and 10.535 Å and the angles 90.00°, 115.68° and 90.00°. Symmetry generates all atoms from Pu at (0.172, 0.084, 0.248), Be at (0.090, 0.232, 0.498), Be at (0.250, 0.250, 0.000), Au at (0.000, 0.345, 0.250), Au at (0.061, 0.071, 0.926), Au at (0.102, 0.407, 0.052), Au at (0.111, 0.305, 0.740) and Au at (0.227, 0.418, 0.434).

As for the total magnetization: 10.87 μB per formula unit. For the total energy, the calculation gives -5.206 eV per atom.

Compound: PuBeAu
Source: the Alexandria database
Functional: PBE
Structure: optimized geometry

The structure belongs to space group P-6m2 (No. 187); the cell edges are 4.2054, 4.2054 and 3.8944 Å and the angles 90.00°, 90.00° and 120.00°. Symmetry generates all atoms from Pu at (0.0000, 0.0000, 0.0000), Be at (0.3333, 0.6667, 0.5000) and Au at (0.6667, 0.3333, 0.5000).

As for the total magnetization: 5.70 μB per formula unit. The value obtained for the excess energy over the best structure of this formula in the dataset is 13 meV/atom.

Question: Which of these has the highest total magnetization?
Answer: Pu2Be3Au9